Record 1
DFT (PBE) results for a relaxed HfAl2C crystal.

Cell lengths 3.098, 3.098, 14.323 Å; angles 90.00, 90.00, 120.00 degrees
Fractional coordinates of all 8 atoms:
Al 0.667 0.333 0.574
Al 0.333 0.667 0.426
Al 0.667 0.333 0.926
Al 0.333 0.667 0.074
C 0.000 0.000 0.500
C 0.000 0.000 0.000
Hf 0.333 0.667 0.750
Hf 0.667 0.333 0.250

Output
- final energy (eV/atom) = -6.577
- theoretical density (kg/m³) = 6821
- V (Å³ per cell) = 119.0
- spin magnetization (μB/f.u.) = 0.0
- symmetry = No. 194

Record 2
DFT (PBE) results for a relaxed CoOsAu crystal.

Cell lengths 4.051, 4.051, 4.051 Å; angles 60.00, 60.00, 60.00 degrees
Fractional coordinates of all 3 atoms:
Os 0.750 0.750 0.750
Au 0.250 0.250 0.250
Co 0.000 0.000 0.000

Output
- final energy (eV/atom) = -6.451
- theoretical density (kg/m³) = 15760
- V (Å³ per cell) = 47.0
- spin magnetization (μB/f.u.) = 0.0
- offset from the most stable computed form (meV per atom) = 0
- symmetry = No. 216

Record 3
DFT (PBE) results for a relaxed ErMgTlS3 crystal.

Cell lengths 14.390, 4.060, 10.920 Å; angles 90.00, 90.00, 90.00 degrees
Fractional coordinates of all 24 atoms:
S 0.930 0.250 0.619
S 0.634 0.750 0.735
S 0.430 0.250 0.881
S 0.593 0.250 0.423
S 0.407 0.750 0.577
S 0.570 0.750 0.119
S 0.134 0.750 0.765
S 0.093 0.250 0.077
S 0.866 0.250 0.235
S 0.907 0.750 0.923
S 0.366 0.250 0.265
S 0.070 0.750 0.381
Tl 0.246 0.250 0.548
Tl 0.254 0.750 0.048
Tl 0.754 0.750 0.452
Tl 0.746 0.250 0.952
Er 0.975 0.750 0.150
Er 0.475 0.750 0.350
Er 0.025 0.250 0.850
Er 0.525 0.250 0.650
Mg 0.023 0.750 0.600
Mg 0.477 0.250 0.100
Mg 0.977 0.250 0.400
Mg 0.523 0.750 0.900

Output
- final energy (eV/atom) = -4.873
- theoretical density (kg/m³) = 5124
- V (Å³ per cell) = 638.0
- spin magnetization (μB/f.u.) = 0.0
- offset from the most stable computed form (meV per atom) = 0
- symmetry = No. 62

Record 4
DFT (PBE) results for a relaxed TmReAs2 crystal.

Cell lengths 7.728, 7.728, 7.728 Å; angles 137.96, 137.96, 60.97 degrees
Fractional coordinates of all 8 atoms:
Re 0.750 0.250 0.500
Re 0.000 0.000 0.000
Tm 0.500 0.500 0.000
Tm 0.250 0.750 0.500
As 0.058 0.125 0.433
As 0.875 0.308 0.933
As 0.375 0.942 0.067
As 0.692 0.625 0.567

Output
- final energy (eV/atom) = -6.531
- theoretical density (kg/m³) = 8191
- V (Å³ per cell) = 204.7
- spin magnetization (μB/f.u.) = 0.0
- symmetry = No. 122